1.
Here is a relaxed NdSmTe3 crystal from the Alexandria database. Energies are from PBE.

Formation energy from raw total energies: -1458 meV per atom
Energy relative to the lowest polymorph listed for this composition: 0.00 eV per formula unit
D(E_F): 0.9 states/eV per cell

Lattice parameters (Å, degrees): 12.300 4.423 11.926 90.00 90.00 90.00
Fractional positions:
Nd 0.198 0.250 0.004
Nd 0.302 0.750 0.504
Nd 0.698 0.250 0.496
Nd 0.802 0.750 0.996
Sm 0.016 0.250 0.312
Sm 0.484 0.750 0.812
Sm 0.516 0.250 0.188
Sm 0.984 0.750 0.688
Te 0.041 0.750 0.124
Te 0.117 0.250 0.557
Te 0.226 0.750 0.801
Te 0.274 0.250 0.301
Te 0.383 0.750 0.057
Te 0.459 0.250 0.624
Te 0.541 0.750 0.376
Te 0.617 0.250 0.943
Te 0.726 0.750 0.699
Te 0.774 0.250 0.199
Te 0.883 0.750 0.443
Te 0.959 0.250 0.876

---

2.
Here is a relaxed Nd2Sm2Te5 crystal from the Alexandria database. Energies are from PBE.

Formation energy from raw total energies: -1376 meV per atom
D(E_F): 13.3 states/eV per cell

Lattice parameters (Å, degrees): 9.053 9.053 8.361 90.00 90.00 54.83
Fractional positions:
Nd 0.197 0.197 0.000
Nd 0.303 0.303 0.500
Nd 0.697 0.697 0.500
Nd 0.803 0.803 0.000
Sm 0.146 0.854 0.651
Sm 0.354 0.646 0.151
Sm 0.646 0.354 0.849
Sm 0.854 0.146 0.349
Te 0.000 0.000 0.000
Te 0.020 0.703 0.345
Te 0.203 0.520 0.845
Te 0.297 0.980 0.345
Te 0.480 0.797 0.845
Te 0.500 0.500 0.500
Te 0.520 0.203 0.155
Te 0.703 0.020 0.655
Te 0.797 0.480 0.155
Te 0.980 0.297 0.655

---

3.
Here is a relaxed Nd3SmTe6 crystal from the Alexandria database. Energies are from PBE.

Formation energy from raw total energies: -1385 meV per atom
Energy relative to the lowest polymorph listed for this composition: 0.00 eV per formula unit

Lattice parameters (Å, degrees): 7.471 8.337 13.627 90.00 122.79 90.00
Fractional positions:
Nd 0.000 0.000 0.000
Nd 0.000 0.500 0.500
Nd 0.305 0.120 0.751
Nd 0.305 0.380 0.251
Nd 0.695 0.620 0.749
Nd 0.695 0.880 0.249
Sm 0.500 0.000 0.500
Sm 0.500 0.500 0.000
Te 0.086 0.055 0.252
Te 0.086 0.445 0.752
Te 0.244 0.675 0.083
Te 0.244 0.825 0.583
Te 0.423 0.177 0.082
Te 0.423 0.323 0.582
Te 0.577 0.677 0.418
Te 0.577 0.823 0.918
Te 0.756 0.175 0.417
Te 0.756 0.325 0.917
Te 0.914 0.555 0.248
Te 0.914 0.945 0.748

---

Calculated uncorrected energy, -26.20, -47.07, -51.73 eV per formula unit (same order as the records).